VASP calculation (PBE-GGA) on a relaxed structure of Tb3Tl3InSe8.

abc: 8.3268 8.3268 22.8646
angles: 90.00 90.00 120.00
Space group R-3m (No. 166, hexagonal axes)
Inequivalent atoms, fractional coordinates:
Tb 0.0000 0.5000 0.0000
Tl 0.0000 0.5000 0.5000
In 0.0000 0.0000 0.0000
Se 0.0000 0.0000 0.2635
Se 0.0078 0.5039 0.7351

Its crystal system is trigonal. The final energy comes out at -4.5825 eV per atom. The value obtained for the total moment is 0.0 Bohr magnetons per cell. As for the uncorrected formation energy: -1.142 eV/atom.